# AsWBr GGA-PBEsol optimized geometry
# - Crystal system: trigonal
# - Energy relative to the elements, uncorrected: 0.1700 eV per atom
data_AsWBr
_space_group_name_H-M_alt 'P 3 m 1'
_space_group_IT_number 156
_space_group_name_Hall 'P 3 -2"'
_cell_length_a 3.1885
_cell_length_b 3.1885
_cell_length_c 6.8380
_cell_angle_alpha 90.00
_cell_angle_beta 90.00
_cell_angle_gamma 120.00
loop_
_atom_site_label
_atom_site_type_symbol
_atom_site_fract_x
_atom_site_fract_y
_atom_site_fract_z
As1 As 0.0000 0.0000 0.0000
W1 W 0.6667 0.3333 0.2623
Br1 Br 0.3333 0.6667 0.5338

***

# AsW2Br GGA-PBEsol optimized geometry
# - Energy above the most stable polymorph in this dataset: 369 meV per atom
# - Crystal system: trigonal
# - Energy relative to the elements, uncorrected: 0.6394 eV per atom
data_AsW2Br
_space_group_name_H-M_alt 'R -3 m'
_space_group_IT_number 166
_space_group_name_Hall '-R 3 2"'
_cell_length_a 3.0075
_cell_length_b 3.0075
_cell_length_c 24.7370
_cell_angle_alpha 90.00
_cell_angle_beta 90.00
_cell_angle_gamma 120.00
loop_
_atom_site_label
_atom_site_type_symbol
_atom_site_fract_x
_atom_site_fract_y
_atom_site_fract_z
As1 As 0.0000 0.0000 0.0000
W1 W 0.0000 0.0000 0.2546
Br1 Br 0.0000 0.0000 0.5000

***

# AsW2Br GGA-PBEsol optimized geometry
# - Energy above the most stable polymorph in this dataset: 729 meV per atom
# - Crystal system: tetragonal
# - Energy relative to the elements, uncorrected: 0.9993 eV per atom
data_AsW2Br
_space_group_name_H-M_alt 'I -4 m 2'
_space_group_IT_number 119
_space_group_name_Hall 'I -4 -2'
_cell_length_a 4.120
_cell_length_b 4.120
_cell_length_c 7.724
_cell_angle_alpha 90.00
_cell_angle_beta 90.00
_cell_angle_gamma 90.00
loop_
_atom_site_label
_atom_site_type_symbol
_atom_site_fract_x
_atom_site_fract_y
_atom_site_fract_z
As1 As 0.000 0.000 0.000
W1 W 0.000 0.000 0.500
W2 W 0.000 0.500 0.750
Br1 Br 0.000 0.500 0.250

***

# AsW2Br GGA-PBEsol optimized geometry
# - Energy above the most stable polymorph in this dataset: 0 meV per atom
# - Crystal system: trigonal
# - Energy relative to the elements, uncorrected: 0.2707 eV per atom
data_AsW2Br
_space_group_name_H-M_alt 'R 3 m'
_space_group_IT_number 160
_space_group_name_Hall 'R 3 -2"'
_cell_length_a 3.0414
_cell_length_b 3.0414
_cell_length_c 28.2585
_cell_angle_alpha 90.00
_cell_angle_beta 90.00
_cell_angle_gamma 120.00
loop_
_atom_site_label
_atom_site_type_symbol
_atom_site_fract_x
_atom_site_fract_y
_atom_site_fract_z
As1 As 0.0000 0.0000 0.0000
W1 W 0.0000 0.0000 0.2655
W2 W 0.0000 0.0000 0.5238
Br1 Br 0.0000 0.0000 0.7882

***

# YAs2Br GGA-PBEsol optimized geometry
# - Crystal system: tetragonal
# - Energy relative to the elements, uncorrected: -0.4398 eV per atom
data_YAs2Br
_space_group_name_H-M_alt 'I -4 m 2'
_space_group_IT_number 119
_space_group_name_Hall 'I -4 -2'
_cell_length_a 4.162
_cell_length_b 4.162
_cell_length_c 9.903
_cell_angle_alpha 90.00
_cell_angle_beta 90.00
_cell_angle_gamma 90.00
loop_
_atom_site_label
_atom_site_type_symbol
_atom_site_fract_x
_atom_site_fract_y
_atom_site_fract_z
Y1 Y 0.000 0.000 0.000
As1 As 0.000 0.000 0.500
As2 As 0.000 0.500 0.250
Br1 Br 0.000 0.500 0.750

***

# YAsBr4 GGA-PBEsol optimized geometry
# - Crystal system: cubic
# - Energy relative to the elements, uncorrected: 0.1693 eV per atom
data_YAsBr4
_space_group_name_H-M_alt 'F -4 3 m'
_space_group_IT_number 216
_space_group_name_Hall 'F -4 2 3'
_cell_length_a 8.420
_cell_length_b 8.420
_cell_length_c 8.420
_cell_angle_alpha 90.00
_cell_angle_beta 90.00
_cell_angle_gamma 90.00
loop_
_atom_site_label
_atom_site_type_symbol
_atom_site_fract_x
_atom_site_fract_y
_atom_site_fract_z
Y1 Y 0.000 0.000 0.000
As1 As 0.250 0.250 0.250
Br1 Br 0.125 0.125 0.625